A plane-wave DFT calculation with PBE was carried out for TcSnS2 after structural relaxation.

The space group is Fm-3m (No. 225) and the conventional cell measures 6.4391, 6.4391 and 6.4391 Å, with angles of 90.00, 90.00 and 90.00 degrees. The inequivalent atoms are Tc at (0.0000, 0.0000, 0.0000), Sn at (0.0000, 0.0000, 0.5000) and S at (0.2500, 0.2500, 0.2500).

As for the mass density: 7.0 g/cm³. The polymorph energy (0 for the lowest one) is 707 meV per atom. The total magnetic moment comes out at 0.000 μB per atom.

A plane-wave DFT calculation with PBE was carried out for TcSnS after structural relaxation.

The space group is P1 (No. 1) and the conventional cell measures 6.2324, 6.3238 and 6.4595 Å, with angles of 90.98, 107.28 and 107.54 degrees. The inequivalent atoms are Tc at (0.0000, 0.0000, 0.0000), Tc at (0.1236, 0.9306, 0.4188), Tc at (0.3543, 0.4786, 0.0536), Tc at (0.7411, 0.5137, 0.4216), Sn at (0.2473, 0.5975, 0.6294), Sn at (0.3683, 0.1317, 0.8203), Sn at (0.7775, 0.1336, 0.2766), Sn at (0.8705, 0.3580, 0.8239), S at (0.3104, 0.8277, 0.1641), S at (0.3395, 0.3267, 0.3790), S at (0.7570, 0.6367, 0.0775) and S at (0.8528, 0.8542, 0.6319).

As for the mass density: 7.2 g/cm³. The polymorph energy (0 for the lowest one) is 189 meV per atom. The total magnetic moment comes out at 0.000 μB per atom.

A plane-wave DFT calculation with PBE was carried out for Tc2SnS after structural relaxation.

The space group is Fm-3m (No. 225) and the conventional cell measures 6.3111, 6.3111 and 6.3111 Å, with angles of 90.00, 90.00 and 90.00 degrees. The inequivalent atoms are Tc at (0.2500, 0.2500, 0.2500), Sn at (0.0000, 0.0000, 0.0000) and S at (0.0000, 0.0000, 0.5000).

As for the mass density: 9.2 g/cm³. The polymorph energy (0 for the lowest one) is 0 meV per atom. The total magnetic moment comes out at 0.000 μB per atom.

A plane-wave DFT calculation with PBE was carried out for Tc3SnS after structural relaxation.

The space group is Pm-3m (No. 221) and the conventional cell measures 4.3888, 4.3888 and 4.3888 Å, with angles of 90.00, 90.00 and 90.00 degrees. The inequivalent atoms are Tc at (0.0000, 0.0000, 0.5000), Sn at (0.5000, 0.5000, 0.5000) and S at (0.0000, 0.0000, 0.0000).

As for the mass density: 8.7 g/cm³. The polymorph energy (0 for the lowest one) is 0 meV per atom. The total magnetic moment comes out at 0.147 μB per atom.

A plane-wave DFT calculation with PBE was carried out for Tc2SnS after structural relaxation.

The space group is I-42d (No. 122) and the conventional cell measures 5.9082, 5.9082 and 9.8129 Å, with angles of 90.00, 90.00 and 90.00 degrees. The inequivalent atoms are Tc at (0.1879, 0.2500, 0.1250), Sn at (0.0000, 0.0000, 0.5000) and S at (0.0000, 0.0000, 0.0000).

As for the mass density: 6.7 g/cm³. The polymorph energy (0 for the lowest one) is 129 meV per atom. The total magnetic moment comes out at 0.000 μB per atom.

A plane-wave DFT calculation with PBE was carried out for TcSnS2 after structural relaxation.

The space group is R-3m (No. 166, hexagonal axes) and the conventional cell measures 3.3995, 3.3995 and 25.5785 Å, with angles of 90.00, 90.00 and 120.00 degrees. The inequivalent atoms are Tc at (0.0000, 0.0000, 0.0000), Sn at (0.0000, 0.0000, 0.5000) and S at (0.0000, 0.0000, 0.3886).

As for the mass density: 5.5 g/cm³. The polymorph energy (0 for the lowest one) is 147 meV per atom. The total magnetic moment comes out at 0.437 μB per atom.

A plane-wave DFT calculation with PBE was carried out for TcSnS after structural relaxation.

The space group is C2/m (No. 12) and the conventional cell measures 12.1684, 3.1051 and 6.6643 Å, with angles of 90.00, 91.44 and 90.00 degrees. The inequivalent atoms are Tc at (0.2503, 0.0000, 0.1711), Sn at (0.1272, 0.0000, 0.5362) and S at (0.1183, 0.5000, 0.0789).

As for the mass density: 6.6 g/cm³. The polymorph energy (0 for the lowest one) is 0 meV per atom. The total magnetic moment comes out at 0.000 μB per atom.

A plane-wave DFT calculation with PBE was carried out for TcSnS2 after structural relaxation.

The space group is P-1 (No. 2) and the conventional cell measures 3.5160, 5.6348 and 8.7086 Å, with angles of 76.71, 89.76 and 89.96 degrees. The inequivalent atoms are Tc at (0.2499, 0.1997, 0.4944), Sn at (0.2500, 0.7392, 0.0316), S at (0.2482, 0.8409, 0.6824) and S at (0.2515, 0.6399, 0.3607).

As for the mass density: 5.6 g/cm³. The polymorph energy (0 for the lowest one) is 0 meV per atom. The total magnetic moment comes out at 0.048 μB per atom.

A plane-wave DFT calculation with PBE was carried out for Tc3SnS after structural relaxation.

The space group is Pm-3m (No. 221) and the conventional cell measures 4.8764, 4.8764 and 4.8764 Å, with angles of 90.00, 90.00 and 90.00 degrees. The inequivalent atoms are Tc at (0.0000, 0.0000, 0.5000), Sn at (0.0000, 0.0000, 0.0000) and S at (0.5000, 0.5000, 0.5000).

As for the mass density: 6.4 g/cm³. The polymorph energy (0 for the lowest one) is 2092 meV per atom. The total magnetic moment comes out at 0.000 μB per atom.

A plane-wave DFT calculation with PBE was carried out for TcSn2S after structural relaxation.

The space group is I-42d (No. 122) and the conventional cell measures 6.2127, 6.2127 and 11.7509 Å, with angles of 90.00, 90.00 and 90.00 degrees. The inequivalent atoms are Tc at (0.0000, 0.0000, 0.0000), Sn at (0.2353, 0.2500, 0.1250) and S at (0.0000, 0.0000, 0.5000).

As for the mass density: 5.4 g/cm³. The polymorph energy (0 for the lowest one) is 0 meV per atom. The total magnetic moment comes out at 0.000 μB per atom.

A plane-wave DFT calculation with PBE was carried out for TcSnS2 after structural relaxation.

The space group is I-42d (No. 122) and the conventional cell measures 6.1905, 6.1905 and 9.9855 Å, with angles of 90.00, 90.00 and 90.00 degrees. The inequivalent atoms are Tc at (0.0000, 0.0000, 0.0000), Sn at (0.0000, 0.0000, 0.5000) and S at (0.1735, 0.2500, 0.1250).

As for the mass density: 4.9 g/cm³. The polymorph energy (0 for the lowest one) is 340 meV per atom. The total magnetic moment comes out at 0.000 μB per atom.

A plane-wave DFT calculation with PBE was carried out for TcSn3S after structural relaxation.

The space group is Pm-3m (No. 221) and the conventional cell measures 5.1738, 5.1738 and 5.1738 Å, with angles of 90.00, 90.00 and 90.00 degrees. The inequivalent atoms are Tc at (0.0000, 0.0000, 0.0000), Sn at (0.0000, 0.5000, 0.5000) and S at (0.5000, 0.5000, 0.5000).

As for the mass density: 5.8 g/cm³. The polymorph energy (0 for the lowest one) is 782 meV per atom. The total magnetic moment comes out at 0.656 μB per atom.

A plane-wave DFT calculation with PBE was carried out for VTc2SnS after structural relaxation.

The space group is P4/mmm (No. 123) and the conventional cell measures 4.6710, 4.6710 and 4.2665 Å, with angles of 90.00, 90.00 and 90.00 degrees. The inequivalent atoms are V at (0.0000, 0.0000, 0.0000), Tc at (0.0000, 0.5000, 0.0000), Sn at (0.5000, 0.5000, 0.5000) and S at (0.0000, 0.0000, 0.5000).

As for the mass density: 7.1 g/cm³. The total magnetic moment comes out at 0.259 μB per atom.

A plane-wave DFT calculation with PBE was carried out for Sn3Te2S after structural relaxation.

The space group is Immm (No. 71) and the conventional cell measures 4.3842, 6.2666 and 13.1672 Å, with angles of 90.00, 90.00 and 90.00 degrees. The inequivalent atoms are Sn at (0.0000, 0.0000, 0.0000), Sn at (0.0000, 0.0000, 0.3511), Te at (0.0000, 0.5000, 0.3266) and S at (0.0000, 0.5000, 0.0000).

As for the mass density: 5.9 g/cm³. The total magnetic moment comes out at 0.000 μB per atom.

A plane-wave DFT calculation with PBE was carried out for SnTeS4 after structural relaxation.

The space group is P2/m (No. 10) and the conventional cell measures 6.5362, 3.7602 and 6.6566 Å, with angles of 90.00, 90.20 and 90.00 degrees. The inequivalent atoms are Sn at (0.0000, 0.0000, 0.0000), Te at (0.5000, 0.5000, 0.0000), S at (0.1556, 0.5000, 0.7758) and S at (0.3231, 0.0000, 0.2296).

As for the mass density: 3.8 g/cm³. The total magnetic moment comes out at 0.000 μB per atom.

A plane-wave DFT calculation with PBE was carried out for Sn5Te4S after structural relaxation.

The space group is I4/mmm (No. 139) and the conventional cell measures 4.4609, 4.4609 and 31.4522 Å, with angles of 90.00, 90.00 and 90.00 degrees. The inequivalent atoms are Sn at (0.0000, 0.0000, 0.0000), Sn at (0.0000, 0.0000, 0.2019), Sn at (0.0000, 0.0000, 0.4085), Te at (0.0000, 0.0000, 0.0995), Te at (0.0000, 0.0000, 0.3024) and S at (0.0000, 0.0000, 0.5000).

As for the mass density: 6.0 g/cm³. The total magnetic moment comes out at 0.000 μB per atom.

A plane-wave DFT calculation with PBE was carried out for SnTe2S6 after structural relaxation.

The space group is C2/m (No. 12) and the conventional cell measures 17.6099, 3.7856 and 7.9408 Å, with angles of 90.00, 108.01 and 90.00 degrees. The inequivalent atoms are Sn at (0.0000, 0.0000, 0.0000), Te at (0.1648, 0.5000, 0.3304), S at (0.0075, 0.5000, 0.2337), S at (0.1529, 0.0000, 0.0791) and S at (0.1694, 0.0000, 0.5693).

As for the mass density: 3.7 g/cm³. The total magnetic moment comes out at 0.000 μB per atom.

A plane-wave DFT calculation with PBE was carried out for Sn3Te2S after structural relaxation.

The space group is C2/c (No. 15) and the conventional cell measures 7.5496, 13.3778 and 7.6201 Å, with angles of 90.00, 109.94 and 90.00 degrees. The inequivalent atoms are Sn at (0.2238, 0.0774, 0.0085), Sn at (0.2500, 0.2500, 0.5000), Te at (0.0000, 0.2618, 0.7500), Te at (0.0000, 0.4190, 0.2500) and S at (0.0000, 0.0956, 0.2500).

As for the mass density: 5.9 g/cm³. The total magnetic moment comes out at 0.000 μB per atom.

A plane-wave DFT calculation with PBE was carried out for SnTeS3 after structural relaxation.

The space group is P2_1/m (No. 11) and the conventional cell measures 5.9575, 5.4642 and 8.8791 Å, with angles of 90.00, 96.52 and 90.00 degrees. The inequivalent atoms are Sn at (0.2265, 0.2500, 0.4435), Te at (0.4725, 0.7500, 0.1520), S at (0.1476, 0.2500, 0.7388), S at (0.3422, 0.7500, 0.4315) and S at (0.3903, 0.2500, 0.1227).

As for the mass density: 4.0 g/cm³. The polymorph energy (0 for the lowest one) is 0 meV per atom. The total magnetic moment comes out at 0.000 μB per atom.

A plane-wave DFT calculation with PBE was carried out for Sn4Te3S after structural relaxation.

The space group is R-3m (No. 166, hexagonal axes) and the conventional cell measures 4.4260, 4.4260 and 43.2510 Å, with angles of 90.00, 90.00 and 120.00 degrees. The inequivalent atoms are Sn at (0.0000, 0.0000, 0.1229), Sn at (0.0000, 0.0000, 0.3683), Te at (0.0000, 0.0000, 0.2543), Te at (0.0000, 0.0000, 0.5000) and S at (0.0000, 0.0000, 0.0000).

As for the mass density: 6.0 g/cm³. The polymorph energy (0 for the lowest one) is 0 meV per atom. The total magnetic moment comes out at 0.000 μB per atom.

A plane-wave DFT calculation with PBE was carried out for Sn2Te2S after structural relaxation.

The space group is P4/mbm (No. 127) and the conventional cell measures 8.1459, 8.1459 and 4.3430 Å, with angles of 90.00, 90.00 and 90.00 degrees. The inequivalent atoms are Sn at (0.1921, 0.3079, 0.0000), Te at (0.1358, 0.6358, 0.5000) and S at (0.0000, 0.0000, 0.0000).

As for the mass density: 6.0 g/cm³. The total magnetic moment comes out at 0.000 μB per atom.

A plane-wave DFT calculation with PBE was carried out for Sn4Te3S after structural relaxation.

The space group is Pmn2_1 (No. 31) and the conventional cell measures 12.5536, 6.3813 and 6.3909 Å, with angles of 90.00, 90.00 and 90.00 degrees. The inequivalent atoms are Sn at (0.0000, 0.1999, 0.0000), Sn at (0.0000, 0.7652, 0.4477), Sn at (0.2409, 0.7502, 0.9961), Te at (0.0000, 0.2465, 0.5130), Te at (0.2504, 0.2502, 0.0135) and S at (0.0000, 0.7826, 0.0296).

As for the mass density: 5.8 g/cm³. The polymorph energy (0 for the lowest one) is 7 meV per atom. The total magnetic moment comes out at 0.000 μB per atom.

A plane-wave DFT calculation with PBE was carried out for SnTeS3 after structural relaxation.

The space group is Pm-3m (No. 221) and the conventional cell measures 5.0495, 5.0495 and 5.0495 Å, with angles of 90.00, 90.00 and 90.00 degrees. The inequivalent atoms are Sn at (0.0000, 0.0000, 0.0000), Te at (0.5000, 0.5000, 0.5000) and S at (0.0000, 0.5000, 0.5000).

As for the mass density: 4.4 g/cm³. The polymorph energy (0 for the lowest one) is 323 meV per atom. The total magnetic moment comes out at 0.000 μB per atom.

A plane-wave DFT calculation with PBE was carried out for Sn2TeS6 after structural relaxation.

The space group is P-31m (No. 162) and the conventional cell measures 6.4887, 6.4887 and 6.6905 Å, with angles of 90.00, 90.00 and 120.00 degrees. The inequivalent atoms are Sn at (0.3333, 0.6667, 0.0000), Te at (0.0000, 0.0000, 0.0000) and S at (0.0000, 0.3447, 0.2238).

As for the mass density: 3.8 g/cm³. The total magnetic moment comes out at 0.000 μB per atom.

A plane-wave DFT calculation with PBE was carried out for Sn4TeS3 after structural relaxation.

The space group is Pmn2_1 (No. 31) and the conventional cell measures 11.9753, 6.1865 and 6.1850 Å, with angles of 90.00, 90.00 and 90.00 degrees. The inequivalent atoms are Sn at (0.0000, 0.2144, 0.0000), Sn at (0.0000, 0.7410, 0.5445), Sn at (0.2387, 0.7184, 0.0514), Te at (0.0000, 0.2377, 0.4897), S at (0.0000, 0.7658, 0.9776) and S at (0.2487, 0.2915, 0.9915).

As for the mass density: 5.1 g/cm³. The total magnetic moment comes out at 0.000 μB per atom.

| no. | formation energy without anion corrections (eV/f.u.) | E_tot (Ry/atom) |
| --- | --- | --- |
| 1 | 1.25 | -0.39272 |
| 2 | -0.44 | -0.46392 |
| 3 | 1.51 | -0.50262 |
| 4 | 1.81 | -0.55003 |
| 5 | 2.02 | -0.49315 |
| 6 | -0.99 | -0.43385 |
| 7 | -1.01 | -0.47784 |
| 8 | -1.58 | -0.44466 |
| 9 | 12.27 | -0.39623 |
| 10 | 2.09 | -0.37500 |
| 11 | -0.21 | -0.41964 |
| 12 | 4.83 | -0.31854 |
| 13 | 4.19 | -0.49676 |
| 14 | -1.73 | -0.29580 |
| 15 | -0.80 | -0.29955 |
| 16 | -2.76 | -0.29010 |
| 17 | -0.55 | -0.29073 |
| 18 | -1.73 | -0.29585 |
| 19 | -0.33 | -0.29183 |
| 20 | -2.41 | -0.29371 |
| 21 | 0.10 | -0.26919 |
| 22 | -2.35 | -0.29321 |
| 23 | 1.29 | -0.26807 |
| 24 | -1.96 | -0.30928 |
| 25 | -2.70 | -0.31456 |